The following is a PBE calculation of crystalline Ac2Be3NiGe4 at its relaxed geometry, from Alexandria.

Summary:
DFT formation energy in meV/atom: -400.3
Crystal system: tetragonal
SG: P-4m2 (115)

Cell: 4.293 4.293 9.851 Å, 90.00 90.00 90.00°
Atoms (fractional coordinates):
Ac 0.000 0.500 0.244
Ac 0.500 0.000 0.756
Be 0.000 0.000 0.000
Be 0.000 0.500 0.625
Be 0.500 0.000 0.375
Ni 0.500 0.500 0.000
Ge 0.000 0.000 0.500
Ge 0.000 0.500 0.876
Ge 0.500 0.000 0.124
Ge 0.500 0.500 0.500



The following is a PBE calculation of crystalline MgTlP2 at its relaxed geometry, from Alexandria.

Summary:
DFT formation energy in meV/atom: 216.5
Crystal system: trigonal
SG: R-3m (166)

Cell: 3.158 3.158 28.902 Å, 90.00 90.00 120.00°
Atoms (fractional coordinates):
Mg 0.000 0.000 0.000
Mg 0.333 0.667 0.667
Mg 0.667 0.333 0.333
Tl 0.000 0.000 0.500
Tl 0.333 0.667 0.167
Tl 0.667 0.333 0.833
P 0.000 0.000 0.265
P 0.000 0.000 0.735
P 0.333 0.667 0.402
P 0.333 0.667 0.932
P 0.667 0.333 0.068
P 0.667 0.333 0.598



The following is a PBE calculation of crystalline Tb4TcTe at its relaxed geometry, from Alexandria.

Summary:
ΔE_f (raw) in eV per atom: -0.511
Crystal system: orthorhombic
SG: Pnma (62)

Cell: 8.139 4.107 19.453 Å, 90.00 90.00 90.00°
Atoms (fractional coordinates):
Tb 0.002 0.250 0.067
Tb 0.055 0.750 0.213
Tb 0.129 0.750 0.643
Tb 0.143 0.750 0.455
Tb 0.357 0.250 0.955
Tb 0.371 0.250 0.143
Tb 0.445 0.250 0.713
Tb 0.498 0.750 0.567
Tb 0.502 0.250 0.433
Tb 0.555 0.750 0.287
Tb 0.629 0.750 0.857
Tb 0.643 0.750 0.045
Tb 0.857 0.250 0.545
Tb 0.871 0.250 0.357
Tb 0.945 0.250 0.787
Tb 0.998 0.750 0.933
Tc 0.249 0.250 0.556
Tc 0.251 0.750 0.056
Tc 0.749 0.250 0.944
Tc 0.751 0.750 0.444
Te 0.248 0.750 0.807
Te 0.252 0.250 0.307
Te 0.748 0.750 0.693
Te 0.752 0.250 0.193



The following is a PBE calculation of crystalline BeIn2PbAu5 at its relaxed geometry, from Alexandria.

Summary:
DFT formation energy in meV/atom: -69.1
Crystal system: orthorhombic
SG: Immm (71)

Cell: 8.098 8.098 8.098 Å, 146.86 137.09 55.27°
Atoms (fractional coordinates):
Be 0.000 0.000 0.000
In 0.204 0.704 0.500
In 0.796 0.296 0.500
Pb 0.500 0.500 0.000
Au 0.000 0.500 0.500
Au 0.129 0.873 0.256
Au 0.383 0.127 0.256
Au 0.617 0.873 0.744
Au 0.871 0.127 0.744



The following is a PBE calculation of crystalline MnSi2Mo at its relaxed geometry, from Alexandria.

Summary:
ΔE_f (raw) in eV per atom: -0.211
Crystal system: monoclinic
SG: Cm (8)

Cell: 8.801 2.876 4.321 Å, 90.00 107.10 90.00°
Atoms (fractional coordinates):
Mn 0.000 0.000 0.000
Mn 0.500 0.500 0.000
Si 0.239 0.500 0.144
Si 0.493 0.000 0.479
Si 0.739 0.000 0.144
Si 0.993 0.500 0.479
Mo 0.243 0.000 0.642
Mo 0.743 0.500 0.642



The following is a PBE calculation of crystalline AlCrNi2Bi at its relaxed geometry, from Alexandria.

Summary:
DFT formation energy in meV/atom: 1252.5
Crystal system: tetragonal
SG: P4/mmm (123)

Cell: 4.290 4.290 5.360 Å, 90.00 90.00 90.00°
Atoms (fractional coordinates):
Al 0.000 0.000 0.000
Cr 0.500 0.500 0.500
Ni 0.000 0.500 0.000
Ni 0.500 0.000 0.000
Bi 0.000 0.000 0.500